Here is a relaxed Zr2AsOs crystal from Alexandria. Energies are from GGA-PBEsol.

Lattice parameters (Å, degrees): 3.2879 3.2879 6.5585 90.00 90.00 90.00
Last column: nearest neighbours and their distance in Å.
Space group P4/mmm (No. 123)
Unique sites:
Zr (0.0000, 0.0000, 0.2469)  4 Os 2.83, 4 As 2.86
As (0.5000, 0.5000, 0.5000)  8 Zr 2.86
Os (0.5000, 0.5000, 0.0000)  8 Zr 2.83

Formation energy   -565 meV per atom
Crystal system   tetragonal
Density of states at the Fermi level   2.50 states/eV per cell